Entry 1:
The following is a PBE-GGA calculation of crystalline CsRbBa2Zn at its relaxed geometry, from the Alexandria database.

Results
Crystal system ... tetragonal
Energy of formation ... 0.084 eV per atom

POSCAR file:
```
CsRbBa2Zn
1.0
6.724 0.000 0.000
0.000 6.724 0.000
0.000 0.000 7.544
Cs Rb Zn Ba
1 1 1 2
Direct
0.000 0.000 0.500
0.500 0.500 0.500
0.000 0.000 0.000
0.500 0.000 0.000
0.000 0.500 0.000
```


Entry 2:
The following is a PBE-GGA calculation of crystalline CsRb2BaZn at its relaxed geometry, from the Alexandria database.

Results
Crystal system ... tetragonal
Energy of formation ... 0.110 eV per atom

POSCAR file:
```
CsRb2BaZn
1.0
-2.862 4.311 5.207
-6.721 -1.209 -2.693
-0.660 -5.304 4.028
Cs Zn Rb Ba
1 1 2 1
Direct
0.500 0.500 0.500
0.000 0.000 0.000
0.500 0.000 0.000
0.000 0.500 0.000
0.000 0.000 0.500
```


Entry 3:
The following is a PBE-GGA calculation of crystalline CsRbBa2Zn at its relaxed geometry, from the Alexandria database.

Results
Crystal system ... tetragonal
Energy of formation ... 0.084 eV per atom

POSCAR file:
```
CsRbBa2Zn
1.0
-4.627 2.383 -4.239
-1.500 -6.265 -1.886
-5.162 -0.394 5.414
Zn Cs Ba Rb
1 1 2 1
Direct
0.000 0.000 0.000
0.500 0.500 0.500
0.000 0.500 0.000
0.500 0.000 0.000
0.000 0.000 0.500
```


Entry 4:
The following is a PBE-GGA calculation of crystalline CsBa3Re at its relaxed geometry, from the Alexandria database.

Results
Crystal system ... cubic
Energy of formation ... 0.703 eV per atom

POSCAR file:
```
CsBa3Re
1.0
6.339 0.000 0.000
0.000 6.339 0.000
0.000 0.000 6.339
Ba Re Cs
3 1 1
Direct
0.500 0.000 0.000
0.000 0.000 0.500
0.000 0.500 0.000
0.000 0.000 0.000
0.500 0.500 0.500
```